Material: BaAlCoCuO5
Method: DFT, PBE with a Hubbard U
State: relaxed

Results
For the final energy, the calculation gives -53.595 eV/f.u. As for the symmetry: No. 99.

Cell lengths 3.716, 3.716, 8.152 Å; angles 90.00, 90.00, 90.00 degrees
Last column: magnetic moment on the atom in μB.
Atoms (fractional coordinates):
Ba: 0.000 0.000 0.031  0.01
Al: 0.000 0.000 0.493  0.00
Co: 0.500 0.500 0.696  2.96
Cu: 0.500 0.500 0.292  0.01
O: 0.000 0.500 0.596  0.19
O: 0.500 0.000 0.596  0.19
O: 0.000 0.500 0.284  0.01
O: 0.500 0.000 0.284  0.01
O: 0.500 0.500 0.915  0.29